1.
# Li8Pd3, relaxed, DFT GGA-PBE
data_Li8Pd3
_space_group_name_H-M_alt 'R -3 m'
_space_group_IT_number 166
_space_group_name_Hall '-R 3 2"'
_cell_length_a 8.1016
_cell_length_b 8.1016
_cell_length_c 10.8752
_cell_angle_alpha 90.00
_cell_angle_beta 90.00
_cell_angle_gamma 120.00
loop_
_atom_site_label
_atom_site_type_symbol
_atom_site_fract_x
_atom_site_fract_y
_atom_site_fract_z
_atom_site_occupancy
Li1 Li 0.0000 0.0000 0.1393 1
Li2 Li 0.0501 0.5250 0.2702 1
Pd1 Pd 0.0000 0.5000 0.5000 1
# energy of formation from the pure elements: -1.04 eV per formula unit
# total energy: -95.8 eV/cell
# V: 18.73 Å³ per atom
# relative energy among the computed polymorphs: 222 meV/atom

---

2.
# Li13Pd3, relaxed, DFT GGA-PBE
data_Li13Pd3
_space_group_name_H-M_alt 'A m m 2'
_space_group_IT_number 38
_cell_length_a 8.400
_cell_length_b 7.426
_cell_length_c 8.124
_cell_angle_alpha 90.00
_cell_angle_beta 90.00
_cell_angle_gamma 90.00
loop_
_space_group_symop_operation_xyz
'x,y,z'
'-x,-y,z'
'-x,y,z'
'x,-y,z'
'x,y+1/2,z+1/2'
'-x,-y+1/2,z+1/2'
'-x,y+1/2,z+1/2'
'x,-y+1/2,z+1/2'
loop_
_atom_site_label
_atom_site_type_symbol
_atom_site_fract_x
_atom_site_fract_y
_atom_site_fract_z
_atom_site_occupancy
Li1 Li 0.000 0.000 0.000 1
Li2 Li 0.000 0.000 0.464 1
Li3 Li 0.000 0.239 0.232 1
Li4 Li 0.263 0.233 0.971 1
Li5 Li 0.265 0.000 0.720 1
Li6 Li 0.500 0.000 0.457 1
Li7 Li 0.500 0.221 0.214 1
Pd1 Pd 0.246 0.000 0.232 1
Pd2 Pd 0.500 0.000 0.952 1
# energy of formation from the pure elements: -3.23 eV per formula unit
# total energy: -87.4 eV/cell
# V: 15.84 Å³ per atom

---

3.
# Li4Pd3, relaxed, DFT GGA-PBE
data_Li4Pd3
_space_group_name_H-M_alt 'R -3 m'
_space_group_IT_number 166
_space_group_name_Hall '-R 3 2"'
_cell_length_a 4.4319
_cell_length_b 4.4319
_cell_length_c 18.3576
_cell_angle_alpha 90.00
_cell_angle_beta 90.00
_cell_angle_gamma 120.00
loop_
_atom_site_label
_atom_site_type_symbol
_atom_site_fract_x
_atom_site_fract_y
_atom_site_fract_z
_atom_site_occupancy
Li1 Li 0.0000 0.0000 0.0876 1
Li2 Li 0.0000 0.0000 0.3642 1
Pd1 Pd 0.0000 0.0000 0.2246 1
Pd2 Pd 0.0000 0.0000 0.5000 1
# energy of formation from the pure elements: -2.27 eV per formula unit
# total energy: -76.5 eV/cell
# V: 14.87 Å³ per atom
# relative energy among the computed polymorphs: 73 meV/atom

---

Please write out number 2 again, unchanged.
# Li13Pd3, relaxed, DFT GGA-PBE
data_Li13Pd3
_space_group_name_H-M_alt 'A m m 2'
_space_group_IT_number 38
_cell_length_a 8.400
_cell_length_b 7.426
_cell_length_c 8.124
_cell_angle_alpha 90.00
_cell_angle_beta 90.00
_cell_angle_gamma 90.00
loop_
_space_group_symop_operation_xyz
'x,y,z'
'-x,-y,z'
'-x,y,z'
'x,-y,z'
'x,y+1/2,z+1/2'
'-x,-y+1/2,z+1/2'
'-x,y+1/2,z+1/2'
'x,-y+1/2,z+1/2'
loop_
_atom_site_label
_atom_site_type_symbol
_atom_site_fract_x
_atom_site_fract_y
_atom_site_fract_z
_atom_site_occupancy
Li1 Li 0.000 0.000 0.000 1
Li2 Li 0.000 0.000 0.464 1
Li3 Li 0.000 0.239 0.232 1
Li4 Li 0.263 0.233 0.971 1
Li5 Li 0.265 0.000 0.720 1
Li6 Li 0.500 0.000 0.457 1
Li7 Li 0.500 0.221 0.214 1
Pd1 Pd 0.246 0.000 0.232 1
Pd2 Pd 0.500 0.000 0.952 1
# energy of formation from the pure elements: -3.23 eV per formula unit
# total energy: -87.4 eV/cell
# V: 15.84 Å³ per atom

---

> The lowest V belongs to which entry?

Li4Pd3

---

> total energy of number 2 (Li13Pd3)?

-87.4 eV/cell

---

> The lowest total energy belongs to which entry?

Li8Pd3